# 1
Computed, not measured: a relaxed ThAl2GaNi2 crystal at the PBE level of DFT.

Structure (POSCAR):
```
ThAl2GaNi2
1.0
4.3749 0.0000 0.0000
0.0000 4.3749 0.0000
0.0000 0.0000 5.6981
Th Al Ga Ni
1 2 1 2
Direct
0.0000 0.0000 0.0000
0.5000 0.5000 0.2491
0.5000 0.5000 0.7509
0.0000 0.0000 0.5000
0.0000 0.5000 0.5000
0.5000 0.0000 0.5000
```

* final energy: -31.2 eV/cell

# 2
Computed, not measured: a relaxed RbNiAg2S crystal at the PBE level of DFT.

Structure (POSCAR):
```
RbNiAg2S
1.0
5.6747 0.0000 0.0000
0.0000 5.6747 0.0000
0.0000 0.0000 5.6462
Rb Ni Ag S
1 1 2 1
Direct
0.0000 0.0000 0.0000
0.5000 0.5000 0.5000
0.0000 0.5000 0.0000
0.5000 0.0000 0.0000
0.0000 0.0000 0.5000
```

* raw formation energy: 1657 meV per atom

# 3
Computed, not measured: a relaxed TlCrW2 crystal at the PBE level of DFT.

Structure (POSCAR):
```
TlCrW2
1.0
0.0000 3.2069 3.2069
3.2069 0.0000 3.2069
3.2069 3.2069 0.0000
Tl Cr W
1 1 2
Direct
0.0000 0.0000 0.0000
0.5000 0.5000 0.5000
0.2500 0.2500 0.2500
0.7500 0.7500 0.7500
```

* E above lowest polymorph: 428 meV/atom

# 4
Computed, not measured: a relaxed Ac3CePm12 crystal at the PBE level of DFT.

Structure (POSCAR):
```
Ac3CePm12
1.0
5.2415 0.0000 0.0000
0.0000 5.2415 0.0000
0.0000 0.0000 20.9375
Ac Ce Pm
3 1 12
Direct
0.0000 0.0000 0.0000
0.0000 0.0000 0.2534
0.0000 0.0000 0.7466
0.0000 0.0000 0.5000
0.0000 0.5000 0.1271
0.0000 0.5000 0.3817
0.0000 0.5000 0.6183
0.0000 0.5000 0.8729
0.5000 0.0000 0.1271
0.5000 0.0000 0.3817
0.5000 0.0000 0.6183
0.5000 0.0000 0.8729
0.5000 0.5000 0.0000
0.5000 0.5000 0.2536
0.5000 0.5000 0.5000
0.5000 0.5000 0.7464
```

* final energy: -74.6 eV/cell

# 5
Computed, not measured: a relaxed Cs2Ce2TiSe6 crystal at the PBE level of DFT.

Structure (POSCAR):
```
Cs2Ce2TiSe6
1.0
3.6098 -6.1697 0.0000
3.6098 6.1697 0.0000
-2.4876 0.0000 8.5475
Cs Ce Ti Se
2 2 1 6
Direct
0.1715 0.8285 0.0000
0.8285 0.1715 0.0000
0.3329 0.6671 0.5000
0.6671 0.3329 0.5000
0.0000 0.0000 0.5000
0.0640 0.3695 0.6797
0.2422 0.2422 0.3223
0.3695 0.0640 0.6797
0.6305 0.9360 0.3203
0.7578 0.7578 0.6777
0.9360 0.6305 0.3203
```

* raw formation energy: -1500 meV per atom

Across the entries above, Fermi-level density of states takes the values 3.660 13.543 2.731 27.725 14.934 states/eV/f.u., respectively.